No. 1
! Ba3As3Pd2, relaxed, DFT PBE-GGA; values from VASP
&SYSTEM
  ibrav = 0, nat = 16, ntyp = 3
/
ATOMIC_SPECIES
Ba 137.33 Ba.upf
As 74.92 As.upf
Pd 106.42 Pd.upf
CELL_PARAMETERS angstrom
2.2404 -5.9905 0.0000
2.2404 5.9905 0.0000
0.0000 0.0000 16.8565
ATOMIC_POSITIONS angstrom
Ba 2.2404 5.3613 12.6424
Ba 2.2404 1.8030 9.9802
Ba 2.2404 1.8030 15.3045
Ba 2.2404 -1.8030 1.5520
Ba 2.2404 -1.8030 6.8763
Ba 2.2404 -5.3613 4.2141
As 2.2404 5.0875 9.3379
As 2.2404 5.0875 15.9469
As 2.2404 3.1112 4.2141
As 2.2404 -3.1112 12.6424
As 2.2404 -5.0875 0.9096
As 2.2404 -5.0875 7.5186
Pd 2.2404 1.6416 2.0457
Pd 2.2404 1.6416 6.3825
Pd 2.2404 -1.6416 10.4740
Pd 2.2404 -1.6416 14.8108
! * ΔE to the lowest computed polymorph: 0.000 eV/atom
! * energy of formation: -7.49 eV/f.u.
! * DOS at the Fermi energy: 0.53 states/eV per atom
! * symmetry: Cmcm (63)

No. 2
! Ba2AsPd, relaxed, DFT PBE-GGA; values from VASP
&SYSTEM
  ibrav = 0, nat = 8, ntyp = 3
/
ATOMIC_SPECIES
Ba 137.33 Ba.upf
As 74.92 As.upf
Pd 106.42 Pd.upf
CELL_PARAMETERS angstrom
6.5139 0.0000 0.0000
0.0000 4.7273 0.0000
-3.0505 0.0000 8.5969
ATOMIC_POSITIONS angstrom
Ba 0.0305 1.1818 3.6131
Ba 1.7182 3.5455 0.5305
Ba 1.7452 1.1818 8.0664
Ba 3.4328 3.5455 4.9838
As 0.0696 3.5455 6.1168
As 3.3938 1.1818 2.4801
Pd -1.0759 1.1818 6.6071
Pd 4.5392 3.5455 1.9898
! * energy of formation: -3.16 eV/f.u.
! * DOS at the Fermi energy: 0.78 states/eV per atom
! * symmetry: P2_1/m (11)

No. 3
! Ba3AsPd, relaxed, DFT PBE-GGA; values from VASP
&SYSTEM
  ibrav = 0, nat = 20, ntyp = 3
/
ATOMIC_SPECIES
Ba 137.33 Ba.upf
As 74.92 As.upf
Pd 106.42 Pd.upf
CELL_PARAMETERS angstrom
9.7320 0.0000 0.0000
0.0000 8.6323 0.0000
-1.4791 0.0000 9.0620
ATOMIC_POSITIONS angstrom
Ba 0.3618 0.0041 1.9202
Ba -0.3778 4.3121 6.4512
Ba 1.9574 1.1210 5.3808
Ba 2.6969 3.1952 0.8498
Ba 2.8674 6.0458 4.4156
Ba 2.1279 6.9027 8.9466
Ba 6.1251 1.7296 0.1154
Ba 5.3855 2.5866 4.6464
Ba 5.5560 5.4372 8.2122
Ba 6.2956 7.5113 3.6812
Ba 7.8912 8.6283 7.1418
Ba 8.6307 4.3202 2.6108
As 3.6632 0.4828 2.4512
As 2.9236 3.8334 6.9822
As 5.3293 4.7989 2.0798
As 4.5898 8.1496 6.6108
Pd 0.4817 5.7693 0.1459
Pd -0.2578 7.1792 4.6769
Pd 8.5107 1.4531 4.3851
Pd 7.7712 2.8630 8.9161
! * ΔE to the lowest computed polymorph: 0.000 eV/atom
! * energy of formation: -3.68 eV/f.u.
! * DOS at the Fermi energy: 0.53 states/eV per atom
! * symmetry: P2_1/c (14)